1 | LaTcW2, optimized geometry, DFT PBE; crystal system = trigonal; spin magnetization = 0.000 μB per cell; calculated density = 13.4 g cm⁻³
1.0
-8.657 4.850 1.003
-9.495 2.219 2.099
-8.174 4.211 3.863
W Tc La
2 1 1
Direct
0.740 0.740 0.740
0.997 0.997 0.997
0.262 0.262 0.262
0.502 0.502 0.502

2 | LaTcW2, optimized geometry, DFT PBE; crystal system = tetragonal; spin magnetization = 0.000 μB per cell; calculated density = 11.9 g cm⁻³
1.0
-7.518 -1.882 -0.684
-0.080 -2.373 7.409
-4.516 0.441 4.178
Tc W La
2 4 2
Direct
0.500 0.500 0.000
0.250 0.750 0.500
0.179 0.625 0.250
0.375 0.429 0.750
0.571 0.125 0.250
0.875 0.821 0.750
0.750 0.250 0.500
0.000 0.000 0.000

3 | LaTcW2, optimized geometry, DFT PBE; crystal system = orthorhombic; spin magnetization = 0.000 μB per cell; calculated density = 13.5 g cm⁻³
1.0
2.859 -0.006 0.000
-1.083 2.646 0.000
0.000 0.000 9.813
W Tc La
2 1 1
Direct
0.000 0.000 0.964
0.000 0.000 0.536
0.500 0.500 0.750
0.500 0.500 0.250

Which of them is least stable? Easy: 2.

1 | La2TcW, optimized geometry, DFT PBE; crystal system = orthorhombic; spin magnetization = 0.000 μB per cell; calculated density = 10.3 g cm⁻³
1.0
-0.900 -0.524 3.088
3.916 -1.655 0.861
2.094 5.784 1.592
Tc La W
1 2 1
Direct
0.000 0.000 0.566
0.000 0.000 0.966
0.500 0.500 0.274
0.500 0.500 0.693

2 | La2TcW, optimized geometry, DFT PBE; crystal system = monoclinic; spin magnetization = 0.000 μB per cell; calculated density = 10.8 g cm⁻³
1.0
4.782 0.000 0.000
0.000 3.150 0.004
0.000 0.634 5.725
La W Tc
2 1 1
Direct
0.000 0.485 0.494
0.000 0.015 0.006
0.500 0.750 0.750
0.500 0.250 0.250

3 | La2TcW, optimized geometry, DFT PBE; crystal system = trigonal; spin magnetization = 0.000 μB per cell; calculated density = 10.1 g cm⁻³
1.0
-7.739 -5.873 1.911
-6.814 -7.113 -1.013
-5.342 -8.149 1.762
La W Tc
2 1 1
Direct
0.007 0.007 0.007
0.241 0.241 0.241
0.764 0.764 0.764
0.488 0.488 0.488

Which of them is least stable? Easy: 2.

1 | La2TcW, optimized geometry, DFT PBE; crystal system = orthorhombic; spin magnetization = 0.000 μB per cell; calculated density = 10.8 g cm⁻³
1.0
3.410 0.000 0.000
0.000 5.240 0.000
0.000 0.000 4.828
Tc W La
1 1 2
Direct
0.500 0.000 0.500
0.000 0.500 0.500
0.000 0.000 0.000
0.500 0.500 0.000

2 | La2TcW, optimized geometry, DFT PBE; crystal system = cubic; spin magnetization = 0.000 μB per cell; calculated density = 10.7 g cm⁻³
1.0
4.964 0.000 0.000
2.482 4.299 0.000
2.482 1.433 4.053
W La Tc
1 2 1
Direct
0.250 0.250 0.250
0.000 0.000 0.000
0.750 0.750 0.750
0.500 0.500 0.500

Which of them is least stable? Easy: 1.

1 | La2TcW, optimized geometry, DFT PBE; crystal system = trigonal; spin magnetization = 0.001 μB per cell; calculated density = 10.2 g cm⁻³
1.0
9.872 0.024 0.014
9.312 3.279 0.014
9.312 1.603 2.860
La W Tc
2 1 1
Direct
0.994 0.994 0.994
0.506 0.506 0.506
0.750 0.750 0.750
0.250 0.250 0.250

2 | La2TcW, optimized geometry, DFT PBE; crystal system = monoclinic; spin magnetization = 0.000 μB per cell; calculated density = 10.6 g cm⁻³
1.0
-3.797 1.861 -3.071
-5.057 1.272 -0.353
1.739 5.135 1.918
Tc La W
1 2 1
Direct
0.750 0.750 0.750
0.511 0.511 0.510
0.989 0.989 0.990
0.250 0.250 0.250

Which of them is least stable? Easy: 1.

1 | La2TcW, optimized geometry, DFT PBE; crystal system = monoclinic; spin magnetization = 0.000 μB per cell; calculated density = 8.9 g cm⁻³
1.0
4.107 0.000 0.000
0.000 3.242 0.035
0.000 2.169 7.855
W La Tc
1 2 1
Direct
0.500 0.738 0.680
0.500 0.301 0.326
0.000 0.967 0.926
0.000 0.493 0.568

2 | La2TcW, optimized geometry, DFT PBE; crystal system = orthorhombic; spin magnetization = 0.000 μB per cell; calculated density = 9.3 g cm⁻³
1.0
6.275 0.000 0.002
3.101 5.456 -0.002
-4.088 -3.759 2.922
La Tc W
2 1 1
Direct
0.270 0.770 0.500
0.989 0.989 0.000
0.543 0.543 0.000
0.699 0.199 0.500

3 | La2TcW, optimized geometry, DFT PBE; crystal system = orthorhombic; spin magnetization = 0.001 μB per cell; calculated density = 10.1 g cm⁻³
1.0
5.690 0.045 0.000
-1.282 5.544 0.000
0.000 0.000 2.912
La Tc W
2 1 1
Direct
0.500 0.500 0.000
0.000 0.000 0.000
0.500 0.000 0.500
0.000 0.500 0.500

Which of them is least stable? Easy: 3.

1 | La2TcW, optimized geometry, DFT PBE; crystal system = orthorhombic; spin magnetization = 0.000 μB per cell; calculated density = 10.0 g cm⁻³
1.0
-0.387 0.533 3.014
0.044 -3.000 -0.717
10.525 -0.177 1.381
La W Tc
2 1 1
Direct
0.000 0.000 0.954
0.500 0.500 0.304
0.500 0.500 0.709
0.000 0.000 0.534

2 | La2TcW, optimized geometry, DFT PBE; crystal system = tetragonal; spin magnetization = 0.010 μB per cell; calculated density = 9.9 g cm⁻³
1.0
-1.676 -6.435 -4.459
5.214 -4.319 4.273
-0.374 -6.114 1.776
La Tc W
4 2 2
Direct
0.375 0.404 0.750
0.154 0.625 0.250
0.596 0.125 0.250
0.875 0.846 0.750
0.500 0.500 0.000
0.250 0.750 0.500
0.750 0.250 0.500
0.000 0.000 0.000

3 | La2TcW, optimized geometry, DFT PBE; crystal system = tetragonal; spin magnetization = 1.462 μB per cell; calculated density = 10.0 g cm⁻³
1.0
-3.247 3.422 -1.951
-3.714 -3.501 0.041
-0.919 1.014 3.308
La W Tc
2 1 1
Direct
0.000 0.000 0.000
0.500 0.500 0.000
0.000 0.500 0.500
0.500 0.000 0.500

Which of them is least stable? Easy: 2.